1.
Entry from the Alexandria database: an optimized crystal structure of CaLuTlPd (PBE).

abc: 7.265 7.265 7.265
angles: 90.00 90.00 90.00
Space group F-43m (No. 216)
Symmetry-distinct sites (fractional):
1 Ca 0.000 0.000 0.000 x4
2 Lu 0.000 0.000 0.500 x4
3 Tl 0.250 0.250 0.250 x4
4 Pd 0.250 0.250 0.750 x4

Results
Its total energy is -64.446 eV for the cell shown. The density of states at the Fermi level is 7.05 states/eV/cell. As for the crystal system: cubic. For the total magnetic moment, the calculation gives 0.0 μB/f.u.

2.
Entry from the Alexandria database: an optimized crystal structure of CaPm2Lu (PBE).

abc: 4.019 4.019 8.727
angles: 90.00 90.00 90.00
Space group P4/mmm (No. 123)
Symmetry-distinct sites (fractional):
1 Ca 0.000 0.000 0.000 x1
2 Pm 0.500 0.500 0.283 x2
3 Lu 0.000 0.000 0.500 x1

Results
Its total energy is -15.726 eV for the cell shown. The density of states at the Fermi level is 4.73 states/eV/cell. As for the crystal system: tetragonal. The value obtained for the energy above the lowest structure with this stoichiometry is 0.000 eV per atom. For the total magnetic moment, the calculation gives 0.0 μB/f.u.

Question: What is the total magnetic moment in the first record?
Answer: 0.0 μB/f.u.

Question: total magnetic moment of number 2 (CaPm2Lu)?
Answer: 0.0 μB/f.u.